A geometry-optimized LuHfBeRh structure. Source: the Alexandria database, functional PBE.

As for the space-group type: F-43m (216). The calculation puts the formation energy at -0.3769 eV per atom.

abc: 6.579 6.579 6.579
angles: 90.00 90.00 90.00
Element x y z (fractional)
Lu  0.000  0.000  0.000
Lu  0.000  0.500  0.500
Lu  0.500  0.000  0.500
Lu  0.500  0.500  0.000
Hf  0.000  0.000  0.500
Hf  0.000  0.500  0.000
Hf  0.500  0.000  0.000
Hf  0.500  0.500  0.500
Be  0.250  0.250  0.750
Be  0.250  0.750  0.250
Be  0.750  0.250  0.250
Be  0.750  0.750  0.750
Rh  0.250  0.250  0.250
Rh  0.250  0.750  0.750
Rh  0.750  0.250  0.750
Rh  0.750  0.750  0.250